1.
Crystalline Pm4GaTe2I at its relaxed geometry, computed with GGA-PBE.

Properties
Raw formation energy, eV per formula unit: -8.737
Theoretical density, g/cm³: 6.88
Final energy, eV per atom: -4.83

```
Pm4GaTe2I
1.0
4.3985 0.0000 0.0000
0.0000 7.6562 -0.1714
0.0000 2.6814 7.3389
Pm Te I Ga
4 2 1 1
Direct
0.0000 0.2529 0.2782 Pm
0.5000 0.7318 0.2766 Pm
0.0000 0.7471 0.7218 Pm
0.5000 0.2682 0.7234 Pm
0.0000 0.0000 0.0000 Te
0.5000 0.0000 0.5000 Te
0.5000 0.5000 0.0000 I
0.0000 0.5000 0.5000 Ga
```

2.
Crystalline PmTl2GaI6 at its relaxed geometry, computed with GGA-PBE.

Properties
Raw formation energy, eV per formula unit: -8.925
Theoretical density, g/cm³: 4.94
Final energy, eV per atom: -3.07

```
PmTl2GaI6
1.0
8.5423 0.0012 0.0000
4.2722 7.3979 -0.0003
4.2709 2.4664 7.3648
Tl I Pm Ga
2 6 1 1
Direct
0.0191 0.0191 0.9427 Tl
0.5258 0.5258 0.4226 Tl
0.6797 0.1016 0.7676 I
0.5754 0.1890 0.2590 I
0.1017 0.4511 0.7675 I
0.9765 0.5756 0.2589 I
0.1890 0.9765 0.2590 I
0.4511 0.6796 0.7675 I
0.3241 0.3241 0.0276 Pm
0.8191 0.8192 0.5428 Ga
```

3.
Crystalline Pm8ZnGa3I4 at its relaxed geometry, computed with GGA-PBE.

Properties
Raw formation energy, eV per formula unit: -11.269
Theoretical density, g/cm³: 6.59
Final energy, eV per atom: -4.11

```
Pm8ZnGa3I4
1.0
8.6121 0.0000 0.0000
0.0000 9.0885 0.3201
-4.3061 -4.3118 6.0991
Pm I Zn Ga
8 4 1 3
Direct
0.2390 0.7141 0.9751 Pm
0.7610 0.2858 0.5221 Pm
0.7610 0.2859 0.0249 Pm
0.7368 0.7107 0.4737 Pm
0.2390 0.7142 0.4779 Pm
0.2632 0.2893 0.5263 Pm
0.2638 0.2859 0.0249 Pm
0.7362 0.7141 0.9751 Pm
0.5000 0.0000 0.5000 I
0.5000 0.0000 0.0000 I
0.0000 0.0000 0.5000 I
0.0000 0.0000 0.0000 I
0.0000 0.5000 0.0000 Zn
0.5000 0.5000 0.5000 Ga
0.5000 0.5000 0.0000 Ga
0.0000 0.5000 0.5000 Ga
```

4.
Crystalline Pr2Ga2I at its relaxed geometry, computed with GGA-PBE.

Properties
Raw formation energy, eV per formula unit: -4.359
Theoretical density, g/cm³: 6.59
Final energy, eV per atom: -4.30

```
Pr2Ga2I
1.0
4.0632 -0.0102 -1.3274
-2.2484 3.6354 -0.0284
0.7011 0.5063 9.0309
Pr Ga I
2 2 1
Direct
0.8434 0.4218 0.2651 Pr
0.1566 0.5782 0.7349 Pr
0.6536 0.8268 0.4804 Ga
0.3464 0.1732 0.5196 Ga
0.0000 0.0000 0.0000 I
```